# Rb2HfHgCl6 (PBE-GGA, optimized geometry)
# - E_form (uncorrected) (kJ/mol of formula units) = -1688
# - mass density (g/cm3) = 2.84
# - E above lowest polymorph (meV per atom) = 0
# - M_tot (μB per cell) = 0.000
data_Rb2HfHgCl6
_cell_length_a 7.2679
_cell_length_b 7.2679
_cell_length_c 58.4815
_cell_angle_alpha 90.00
_cell_angle_beta 90.00
_cell_angle_gamma 120.00
_space_group_name_H-M_alt 'R -3 m'
_space_group_IT_number 166
_space_group_name_Hall '-R 3 2"'
loop_
_atom_site_label
_atom_site_fract_x
_atom_site_fract_y
_atom_site_fract_z
Rb1 0.0000 0.0000 0.1448
Rb2 0.0000 0.0000 0.3117
Hf1 0.0000 0.0000 0.0000
Hf2 0.0000 0.0000 0.5000
Hg1 0.0000 0.0000 0.4157
Cl1 0.0132 0.5066 0.1424
Cl2 0.0135 0.5067 0.6909